Computed, not measured: a relaxed structure of AcYTeO2 at the GGA-PBE level of DFT. Values from VASP.

Results
* DOS(E_F): 0.000 states/eV/atom
* total energy: -76.50 eV for the cell shown
* formation energy (no corrections): -2924 meV per atom
* SG: P2_1/m (11)

The structure in Quantum ESPRESSO input format:
```
&SYSTEM
  ibrav = 0, nat = 10, ntyp = 4
/
ATOMIC_SPECIES
Ac 227.00 Ac.upf
Y 88.91 Y.upf
Te 127.60 Te.upf
O 16.00 O.upf
CELL_PARAMETERS angstrom
7.146 0.000 0.000
0.000 4.265 0.000
-2.478 0.000 7.758
ATOMIC_POSITIONS crystal
Ac 0.188 0.250 0.427
Ac 0.812 0.750 0.573
Y 0.151 0.250 0.915
Y 0.849 0.750 0.085
Te 0.449 0.750 0.765
Te 0.551 0.250 0.235
O 0.010 0.750 0.889
O 0.013 0.750 0.367
O 0.987 0.250 0.633
O 0.990 0.250 0.111
```

---

Computed, not measured: a relaxed structure of ZnPt2 at the GGA-PBE level of DFT. Values from VASP.

Results
* DOS(E_F): 0.643 states/eV/atom
* total energy: -14.54 eV for the cell shown
* E_form: -0.39 eV per atom
* SG: I4/mmm (139)

The structure in Quantum ESPRESSO input format:
```
&SYSTEM
  ibrav = 0, nat = 3, ntyp = 2
/
ATOMIC_SPECIES
Zn 65.41 Zn.upf
Pt 195.08 Pt.upf
CELL_PARAMETERS angstrom
-1.409 1.409 5.645
1.409 -1.409 5.645
1.409 1.409 -5.645
ATOMIC_POSITIONS crystal
Zn 0.000 0.000 0.000
Pt 0.341 0.341 0.000
Pt 0.659 0.659 0.000
```

---

Computed, not measured: a relaxed structure of Be2InW at the GGA-PBE level of DFT. Values from VASP.

Results
* DOS(E_F): 0.428 states/eV/atom
* total energy: -21.78 eV for the cell shown
* E_form: 0.34 eV per atom
* SG: Pmmm (47)

The structure in Quantum ESPRESSO input format:
```
&SYSTEM
  ibrav = 0, nat = 4, ntyp = 3
/
ATOMIC_SPECIES
Be 9.01 Be.upf
In 114.82 In.upf
W 183.84 W.upf
CELL_PARAMETERS angstrom
2.837 0.000 0.000
0.000 3.720 0.000
0.000 0.000 5.371
ATOMIC_POSITIONS crystal
Be 0.000 0.000 0.188
Be 0.000 0.000 0.812
In 0.000 0.500 0.500
W 0.500 0.500 0.000
```

---

Computed, not measured: a relaxed structure of Zr2NiIr at the GGA-PBE level of DFT. Values from VASP.

Results
* DOS(E_F): 0.769 states/eV/atom
* total energy: -33.57 eV for the cell shown
* E_form: -0.46 eV per atom
* SG: Imm2 (44)

The structure in Quantum ESPRESSO input format:
```
&SYSTEM
  ibrav = 0, nat = 4, ntyp = 3
/
ATOMIC_SPECIES
Zr 91.22 Zr.upf
Ni 58.69 Ni.upf
Ir 192.22 Ir.upf
CELL_PARAMETERS angstrom
-1.914 2.018 4.478
1.914 -2.018 4.478
1.914 2.018 -4.478
ATOMIC_POSITIONS crystal
Zr 0.000 0.000 0.000
Zr 0.748 0.248 0.500
Ni 0.498 0.498 0.000
Ir 0.244 0.744 0.500
```

---

Computed, not measured: a relaxed structure of NaSr2MgCu at the GGA-PBE level of DFT. Values from VASP.

Results
* DOS(E_F): 0.508 states/eV/atom
* total energy: -10.31 eV for the cell shown
* E_form: 0.01 eV per atom
* SG: P4/mmm (123)

The structure in Quantum ESPRESSO input format:
```
&SYSTEM
  ibrav = 0, nat = 5, ntyp = 4
/
ATOMIC_SPECIES
Na 22.99 Na.upf
Sr 87.62 Sr.upf
Mg 24.30 Mg.upf
Cu 63.55 Cu.upf
CELL_PARAMETERS angstrom
6.012 0.000 0.000
0.000 6.012 0.000
0.000 0.000 5.119
ATOMIC_POSITIONS crystal
Na 0.000 0.000 0.000
Sr 0.000 0.500 0.500
Sr 0.500 0.000 0.500
Mg 0.500 0.500 0.000
Cu 0.500 0.500 0.500
```

---

Computed, not measured: a relaxed structure of CsNdTl2F6 at the GGA-PBE level of DFT. Values from VASP.

Results
* DOS(E_F): 0.000 states/eV/atom
* total energy: -50.27 eV for the cell shown
* formation energy (no corrections): -2869 meV per atom
* SG: R3 (146)

The structure in Quantum ESPRESSO input format:
```
&SYSTEM
  ibrav = 0, nat = 10, ntyp = 4
/
ATOMIC_SPECIES
Cs 132.91 Cs.upf
Nd 144.24 Nd.upf
Tl 204.38 Tl.upf
F 19.00 F.upf
CELL_PARAMETERS angstrom
3.487 2.013 5.790
-3.487 2.013 5.790
0.000 -4.026 5.790
ATOMIC_POSITIONS crystal
Cs 0.000 0.000 0.000
Nd 0.486 0.486 0.486
Tl 0.269 0.269 0.269
Tl 0.774 0.774 0.774
F 0.143 0.638 0.409
F 0.240 0.589 0.815
F 0.409 0.143 0.638
F 0.589 0.815 0.240
F 0.638 0.409 0.143
F 0.815 0.240 0.589
```

---

Computed, not measured: a relaxed structure of ThMgScNb at the GGA-PBE level of DFT. Values from VASP.

Results
* DOS(E_F): 0.357 states/eV/atom
* total energy: -24.88 eV for the cell shown
* E_form: 0.13 eV per atom
* SG: F-43m (216)

The structure in Quantum ESPRESSO input format:
```
&SYSTEM
  ibrav = 0, nat = 4, ntyp = 4
/
ATOMIC_SPECIES
Th 232.04 Th.upf
Mg 24.30 Mg.upf
Sc 44.96 Sc.upf
Nb 92.91 Nb.upf
CELL_PARAMETERS angstrom
0.000 3.601 3.601
3.601 0.000 3.601
3.601 3.601 0.000
ATOMIC_POSITIONS crystal
Th 0.000 0.000 0.000
Mg 0.250 0.250 0.250
Sc 0.500 0.500 0.500
Nb 0.750 0.750 0.750
```

---

Computed, not measured: a relaxed structure of Pm3HoS6 at the GGA-PBE level of DFT. Values from VASP.

Results
* DOS(E_F): 0.000 states/eV/atom
* total energy: -128.45 eV for the cell shown
* formation energy (no corrections): -2063 meV per atom
* SG: R-3 (148)

The structure in Quantum ESPRESSO input format:
```
&SYSTEM
  ibrav = 0, nat = 20, ntyp = 3
/
ATOMIC_SPECIES
Pm 145.00 Pm.upf
Ho 164.93 Ho.upf
S 32.06 S.upf
CELL_PARAMETERS angstrom
5.861 3.384 4.613
-5.861 3.384 4.613
0.000 -6.768 4.613
ATOMIC_POSITIONS crystal
Pm 0.068 0.749 0.576
Pm 0.251 0.424 0.932
Pm 0.424 0.932 0.251
Pm 0.576 0.068 0.749
Pm 0.749 0.576 0.068
Pm 0.932 0.251 0.424
Ho 0.000 0.000 0.000
Ho 0.500 0.500 0.500
S 0.038 0.686 0.909
S 0.091 0.962 0.314
S 0.189 0.422 0.588
S 0.314 0.091 0.962
S 0.412 0.811 0.578
S 0.422 0.588 0.189
S 0.578 0.412 0.811
S 0.588 0.189 0.422
S 0.686 0.909 0.038
S 0.811 0.578 0.412
S 0.909 0.038 0.686
S 0.962 0.314 0.091
```

---

Computed, not measured: a relaxed structure of YAsBr2 at the GGA-PBE level of DFT. Values from VASP.

Results
* DOS(E_F): 0.544 states/eV/atom
* total energy: -18.27 eV for the cell shown
* formation energy (no corrections): -952 meV per atom
* SG: Immm (71)

The structure in Quantum ESPRESSO input format:
```
&SYSTEM
  ibrav = 0, nat = 4, ntyp = 3
/
ATOMIC_SPECIES
Y 88.91 Y.upf
As 74.92 As.upf
Br 79.90 Br.upf
CELL_PARAMETERS angstrom
-1.899 2.274 7.777
1.899 -2.274 7.777
1.899 2.274 -7.777
ATOMIC_POSITIONS crystal
Y 0.000 0.000 0.000
As 0.500 0.500 0.000
Br 0.147 0.647 0.500
Br 0.853 0.353 0.500
```

---

Computed, not measured: a relaxed structure of Zn4CrIn at the GGA-PBE level of DFT. Values from VASP.

Results
* DOS(E_F): 0.351 states/eV/atom
* total energy: -16.59 eV for the cell shown
* E_form: 0.14 eV per atom
* SG: F-43m (216)

The structure in Quantum ESPRESSO input format:
```
&SYSTEM
  ibrav = 0, nat = 6, ntyp = 3
/
ATOMIC_SPECIES
Zn 65.41 Zn.upf
Cr 52.00 Cr.upf
In 114.82 In.upf
CELL_PARAMETERS angstrom
0.000 3.678 3.678
3.678 0.000 3.678
3.678 3.678 0.000
ATOMIC_POSITIONS crystal
Zn 0.376 0.376 0.376
Zn 0.376 0.376 0.872
Zn 0.376 0.872 0.376
Zn 0.872 0.376 0.376
Cr 0.750 0.750 0.750
In 0.000 0.000 0.000
```

---

Computed, not measured: a relaxed structure of TaV4Pd12 at the GGA-PBE level of DFT. Values from VASP.

Results
* DOS(E_F): 1.614 states/eV/atom
* total energy: -110.35 eV for the cell shown
* E_form: 0.02 eV per atom
* SG: Im-3m (229)

The structure in Quantum ESPRESSO input format:
```
&SYSTEM
  ibrav = 0, nat = 17, ntyp = 3
/
ATOMIC_SPECIES
Ta 180.95 Ta.upf
V 50.94 V.upf
Pd 106.42 Pd.upf
CELL_PARAMETERS angstrom
-4.108 4.108 4.108
4.108 -4.108 4.108
4.108 4.108 -4.108
ATOMIC_POSITIONS crystal
Ta 0.000 0.000 0.000
V 0.000 0.000 0.500
V 0.000 0.500 0.000
V 0.500 0.000 0.000
V 0.500 0.500 0.500
Pd 0.000 0.294 0.294
Pd 0.000 0.706 0.706
Pd 0.250 0.500 0.750
Pd 0.250 0.750 0.500
Pd 0.294 0.000 0.294
Pd 0.294 0.294 0.000
Pd 0.500 0.250 0.750
Pd 0.500 0.750 0.250
Pd 0.706 0.000 0.706
Pd 0.706 0.706 0.000
Pd 0.750 0.250 0.500
Pd 0.750 0.500 0.250
```

---

Computed, not measured: a relaxed structure of TlHgSb2 at the GGA-PBE level of DFT. Values from VASP.

Results
* DOS(E_F): 0.523 states/eV/atom
* total energy: -10.33 eV for the cell shown
* formation energy (no corrections): 145 meV per atom
* SG: Cmmm (65)

The structure in Quantum ESPRESSO input format:
```
&SYSTEM
  ibrav = 0, nat = 4, ntyp = 3
/
ATOMIC_SPECIES
Tl 204.38 Tl.upf
Hg 200.59 Hg.upf
Sb 121.76 Sb.upf
CELL_PARAMETERS angstrom
2.074 -2.627 0.000
2.074 2.627 0.000
0.000 0.000 10.309
ATOMIC_POSITIONS crystal
Tl 0.000 0.000 0.000
Hg 0.000 0.000 0.500
Sb 0.500 0.500 0.269
Sb 0.500 0.500 0.731
```